No. 1
KCu4Mo: optimized geometry, PBE-GGA.

Lattice parameters (Å, degrees): 5.1550 5.1550 5.1550 60.00 60.00 60.00
Last column: nearest neighbours and their distance in Å.
Atoms (fractional coordinates):
K (0.0000, 0.0000, 0.0000)  12 Cu 3.02, 4 Mo 3.16
Cu (0.3761, 0.3761, 0.3761)  6 Cu 2.55-2.60
Cu (0.3761, 0.3761, 0.8716)  6 Cu 2.55-2.60
Cu (0.3761, 0.8716, 0.3761)  6 Cu 2.55-2.60
Cu (0.8716, 0.3761, 0.3761)  6 Cu 2.55-2.60
Mo (0.7500, 0.7500, 0.7500)  12 Cu 3.02, 4 K 3.16

Calculated values
- Total energy: -3.9745 eV/atom
- Spin magnetization: 3.47 μB per formula unit
- Energy of formation from the pure elements: 71.8 kJ per mole of atoms

No. 2
Co2TeOs: optimized geometry, PBE-GGA.

Lattice parameters (Å, degrees): 2.9205 4.2190 4.5890 90.00 90.00 90.00
Last column: nearest neighbours and their distance in Å.
Atoms (fractional coordinates):
Co (0.0000, 0.0000, 0.0000)  2 Co 2.55, 4 Os 2.65, 4 Te 2.65-2.79
Co (0.0000, 0.5000, 0.3135)  2 Co 2.55, 2 Os 2.57, 4 Te 2.68
Te (0.5000, 0.0000, 0.4825)  8 Co 2.65-2.79, 2 Os 2.71, 2 Te 2.92
Os (0.5000, 0.5000, 0.8534)  6 Co 2.57-2.65, 2 Te 2.71

Calculated values
- Total energy: -6.6564 eV/atom
- Spin magnetization: 1.42 μB per formula unit

No. 3
Er3Te5: optimized geometry, PBE-GGA.

Lattice parameters (Å, degrees): 9.3812 9.3812 6.1194 90.00 90.00 120.00
Last column: nearest neighbours and their distance in Å.
Atoms (fractional coordinates):
Er (0.0000, 0.3730, 0.2500)  9 Te 3.14-3.33
Er (0.0000, 0.6270, 0.7500)  9 Te 3.14-3.33
Er (0.3730, 0.0000, 0.2500)  9 Te 3.14-3.33
Er (0.3730, 0.3730, 0.7500)  9 Te 3.14-3.33
Er (0.6270, 0.0000, 0.7500)  9 Te 3.14-3.33
Er (0.6270, 0.6270, 0.2500)  9 Te 3.14-3.33
Te (0.0000, 0.2754, 0.7500)  5 Er 3.14-3.30
Te (0.0000, 0.7246, 0.2500)  5 Er 3.14-3.30
Te (0.2754, 0.0000, 0.7500)  5 Er 3.14-3.30
Te (0.2754, 0.2754, 0.2500)  5 Er 3.14-3.30
Te (0.3333, 0.6667, 0.0000)  2 Te 3.06, 6 Er 3.33
Te (0.3333, 0.6667, 0.5000)  2 Te 3.06, 6 Er 3.33
Te (0.6667, 0.3333, 0.0000)  2 Te 3.06, 6 Er 3.33
Te (0.6667, 0.3333, 0.5000)  2 Te 3.06, 6 Er 3.33
Te (0.7246, 0.0000, 0.2500)  5 Er 3.14-3.30
Te (0.7246, 0.7246, 0.7500)  5 Er 3.14-3.30

Calculated values
- Total energy: -4.8553 eV/atom
- Spin magnetization: 0.00 μB per formula unit

No. 4
K3FeS: optimized geometry, PBE-GGA.

Lattice parameters (Å, degrees): 5.9313 5.9313 5.9313 90.00 90.00 90.00
Last column: nearest neighbours and their distance in Å.
Atoms (fractional coordinates):
K (0.0000, 0.0000, 0.5000)  2 Fe 2.97
K (0.0000, 0.5000, 0.0000)  2 Fe 2.97
K (0.5000, 0.0000, 0.0000)  2 Fe 2.97
Fe (0.0000, 0.0000, 0.0000)  6 K 2.97
S (0.5000, 0.5000, 0.5000)  12 K 4.19

Calculated values
- Total energy: -2.6014 eV/atom
- Spin magnetization: 3.00 μB per formula unit

No. 5
NaH4Ru: optimized geometry, PBE-GGA.

Lattice parameters (Å, degrees): 5.9700 5.9700 4.8020 95.01 95.01 126.46
Last column: nearest neighbours and their distance in Å.
Atoms (fractional coordinates):
Na (0.1360, 0.8640, 0.7500)  6 H 2.26-2.35
Na (0.8640, 0.1360, 0.2500)  6 H 2.26-2.35
H (0.1775, 0.5056, 0.6026)  1 Ru 1.62
H (0.2322, 0.3611, 0.9847)  2 Ru 1.73-1.91
H (0.3611, 0.2322, 0.4847)  2 Ru 1.73-1.91
H (0.4944, 0.8225, 0.8974)  1 Ru 1.62
H (0.5056, 0.1775, 0.1026)  1 Ru 1.62
H (0.6389, 0.7678, 0.5153)  2 Ru 1.73-1.91
H (0.7678, 0.6389, 0.0153)  2 Ru 1.73-1.91
H (0.8225, 0.4944, 0.3974)  1 Ru 1.62
Ru (0.4554, 0.5446, 0.7500)  4 H 1.62-1.73
Ru (0.5446, 0.4554, 0.2500)  4 H 1.62-1.73

Calculated values
- Total energy: -4.0466 eV/atom
- Excess energy over the best structure of this formula in the dataset: 0.0000 eV/atom
- Spin magnetization: 0.00 μB per formula unit

No. 6
AcPb3Au3: optimized geometry, PBE-GGA.

Lattice parameters (Å, degrees): 8.0989 8.0989 8.0989 65.81 65.81 65.81
Last column: nearest neighbours and their distance in Å.
Atoms (fractional coordinates):
Ac (0.1658, 0.1658, 0.1658)  6 Au 3.19-3.22
Ac (0.8342, 0.8342, 0.8342)  6 Au 3.19-3.22
Pb (0.1226, 0.6902, 0.4041)  4 Au 2.95-3.04
Pb (0.3098, 0.5959, 0.8774)  4 Au 2.95-3.04
Pb (0.4041, 0.1226, 0.6902)  4 Au 2.95-3.04
Pb (0.5959, 0.8774, 0.3098)  4 Au 2.95-3.04
Pb (0.6902, 0.4041, 0.1226)  4 Au 2.95-3.04
Pb (0.8774, 0.3098, 0.5959)  4 Au 2.95-3.04
Au (0.0421, 0.4199, 0.7860)  4 Pb 2.95-3.04, 2 Ac 3.19-3.22
Au (0.2140, 0.9579, 0.5801)  4 Pb 2.95-3.04, 2 Ac 3.19-3.22
Au (0.4199, 0.7860, 0.0421)  4 Pb 2.95-3.04, 2 Ac 3.19-3.22
Au (0.5801, 0.2140, 0.9579)  4 Pb 2.95-3.04, 2 Ac 3.19-3.22
Au (0.7860, 0.0421, 0.4199)  4 Pb 2.95-3.04, 2 Ac 3.19-3.22
Au (0.9579, 0.5801, 0.2140)  4 Pb 2.95-3.04, 2 Ac 3.19-3.22

Calculated values
- Total energy: -3.8483 eV/atom
- Excess energy over the best structure of this formula in the dataset: 0.1256 eV/atom
- Spin magnetization: 0.00 μB per formula unit
- Energy of formation from the pure elements: -25.8 kJ per mole of atoms